1.
Here is a relaxed ReNi2As crystal from Alexandria. Energies are from PBE-GGA.

Cell: 4.6074 4.6074 2.7019 Å, 90.00 90.00 113.87°
Positions (direct):
As1 0.0000 0.5000 0.5000
Ni1 0.0000 0.0000 0.0000
Ni2 0.5000 0.5000 0.0000
Re1 0.5000 0.0000 0.5000

## Properties
SG: No. 65
Total magnetization in Bohr magnetons per cell: 0.00
Volume in Å³/cell: 52.5
Mass density in Mg/m³: 11.98
Formation enthalpy at 0 K in kJ/mol of formula units: 49

***

2.
Here is a relaxed Y2ErMg4 crystal from Alexandria. Energies are from PBE-GGA.

Cell: 5.4097 5.4097 8.0831 Å, 109.55 109.55 90.00°
Site moments in Bohr magnetons follow the coordinates.
Positions (direct):
Y1 0.7491 0.7491 0.4982  0.11
Y2 0.2509 0.2509 0.5018  0.11
Er1 0.0000 0.0000 0.0000  -0.02
Mg1 0.3836 0.8836 0.7672  0.00
Mg2 0.8836 0.3836 0.7672  0.00
Mg3 0.6164 0.1164 0.2328  0.00
Mg4 0.1164 0.6164 0.2328  0.00

## Properties
SG: No. 139
Total magnetization in Bohr magnetons per cell: 0.47
Volume in Å³/cell: 208.4
Mass density in Mg/m³: 3.52
Formation enthalpy at 0 K in kJ/mol of formula units: 87

***

3.
Here is a relaxed ErGe2Ru crystal from Alexandria. Energies are from PBE-GGA.

Cell: 4.2371 6.6700 11.1300 Å, 90.00 90.00 90.00°
Positions (direct):
Er1 0.7500 0.0709 0.1488
Er2 0.2500 0.9291 0.8512
Er3 0.7500 0.5709 0.3512
Er4 0.2500 0.4291 0.6488
Ge1 0.7500 0.2277 0.5076
Ge2 0.2500 0.7723 0.4924
Ge3 0.7500 0.7277 0.9924
Ge4 0.2500 0.2723 0.0076
Ge5 0.7500 0.1610 0.7370
Ge6 0.2500 0.3390 0.2370
Ge7 0.7500 0.6610 0.7630
Ge8 0.2500 0.8390 0.2630
Ru1 0.2500 0.6258 0.0843
Ru2 0.2500 0.1258 0.4157
Ru3 0.7500 0.3742 0.9157
Ru4 0.7500 0.8742 0.5843

## Properties
SG: No. 62
Total magnetization in Bohr magnetons per cell: 0.00
Volume in Å³/cell: 314.5
Mass density in Mg/m³: 8.73
Formation enthalpy at 0 K in kJ/mol of formula units: -162

***

4.
Here is a relaxed PaInGePd crystal from Alexandria. Energies are from PBE-GGA.

Cell: 4.8978 4.8978 4.8978 Å, 60.00 60.00 60.00°
Site moments in Bohr magnetons follow the coordinates.
Positions (direct):
Ge1 0.2500 0.2500 0.2500  0.02
Pa1 0.5000 0.5000 0.5000  0.17
Pd1 0.7500 0.7500 0.7500  -0.01
In1 0.0000 0.0000 0.0000  0.00

## Properties
SG: No. 216
Total magnetization in Bohr magnetons per cell: 0.22
Volume in Å³/cell: 83.1
Mass density in Mg/m³: 10.49
Formation enthalpy at 0 K in kJ/mol of formula units: -123

***

5.
Here is a relaxed Sr3CdOs crystal from Alexandria. Energies are from PBE-GGA.

Cell: 5.7998 5.7998 5.7998 Å, 90.00 90.00 90.00°
Positions (direct):
Sr1 0.0000 0.5000 0.0000
Sr2 0.0000 0.0000 0.5000
Sr3 0.5000 0.0000 0.0000
Os1 0.0000 0.0000 0.0000
Cd1 0.5000 0.5000 0.5000

## Properties
SG: No. 221
Total magnetization in Bohr magnetons per cell: 0.00
Volume in Å³/cell: 195.1
Mass density in Mg/m³: 4.81
Formation enthalpy at 0 K in kJ/mol of formula units: 173

***

6.
Here is a relaxed H6Se2Br crystal from Alexandria. Energies are from PBE-GGA.

Cell: 7.9464 7.9464 7.8964 Å, 102.94 102.94 123.71°
Site moments in Bohr magnetons follow the coordinates.
Positions (direct):
H1 0.3900 0.3666 0.4728  -0.07
H2 0.8938 0.9172 0.5272  -0.07
H3 0.6166 0.1400 0.9728  -0.07
H4 0.1672 0.6438 0.0272  -0.07
H5 0.9682 0.4446 0.1937  0.00
H6 0.2509 0.7745 0.8063  0.00
H7 0.6946 0.7182 0.6937  0.00
H8 0.0245 0.0009 0.3063  0.00
H9 0.7547 0.5622 0.4756  0.00
H10 0.0866 0.2791 0.5244  0.00
H11 0.8122 0.5047 0.9756  0.00
H12 0.5291 0.8366 0.0244  0.00
Se1 0.6190 0.6423 0.4768  -0.08
Se2 0.1654 0.1421 0.5232  -0.08
Se3 0.8923 0.3690 0.9768  -0.08
Se4 0.3921 0.9154 0.0232  -0.08
Br1 0.0087 0.5087 0.5000  0.00
Br2 0.7587 0.7587 0.0000  0.00

## Properties
SG: No. 43
Total magnetization in Bohr magnetons per cell: 1.01
Volume in Å³/cell: 365.1
Uncorrected energy in eV/atom: -3.0883
Mass density in Mg/m³: 2.22

***

7.
Here is a relaxed TmPuN crystal from Alexandria. Energies are from PBE-GGA.

Cell: 4.2270 4.2270 4.2270 Å, 60.00 60.00 60.00°
Site moments in Bohr magnetons follow the coordinates.
Positions (direct):
N1 0.2500 0.2500 0.2500  -0.12
Tm1 0.5000 0.5000 0.5000  0.61
Pu1 0.0000 0.0000 0.0000  5.36

## Properties
SG: No. 216
Total magnetization in Bohr magnetons per cell: 5.80
ΔE_f (raw) in eV/atom: -0.1865
Volume in Å³/cell: 53.4
Mass density in Mg/m³: 13.27

***

8.
Here is a relaxed Pm2GdSc crystal from Alexandria. Energies are from PBE-GGA.

Cell: 3.5810 3.5810 9.7366 Å, 90.00 90.00 90.00°
Site moments in Bohr magnetons follow the coordinates.
Positions (direct):
Sc1 0.5000 0.5000 0.0000  -0.10
Gd1 0.5000 0.5000 0.5000  7.21
Pm1 0.0000 0.0000 0.7638  -0.03
Pm2 0.0000 0.0000 0.2362  -0.03

## Properties
SG: No. 123
Total magnetization in Bohr magnetons per cell: 7.23
Volume in Å³/cell: 124.9
Mass density in Mg/m³: 6.55
Formation enthalpy at 0 K in kJ/mol of formula units: 15

***

9.
Here is a relaxed SnHg3Pb crystal from Alexandria. Energies are from PBE-GGA.

Cell: 3.3619 8.7057 10.2724 Å, 100.90 90.00 101.13°
Positions (direct):
Sn1 0.3278 0.6556 0.5546
Sn2 0.6722 0.3444 0.4454
Hg1 0.9386 0.8772 0.7755
Hg2 0.0614 0.1228 0.2245
Hg3 0.7436 0.4871 0.1907
Hg4 0.2564 0.5129 0.8093
Hg5 0.9265 0.8530 0.3805
Hg6 0.0735 0.1470 0.6195
Pb1 0.1084 0.2168 0.9469
Pb2 0.8916 0.7832 0.0531

## Properties
SG: No. 12
Total magnetization in Bohr magnetons per cell: 0.00
Volume in Å³/cell: 289.5
Mass density in Mg/m³: 10.64
Formation enthalpy at 0 K in kJ/mol of formula units: 34

***

10.
Here is a relaxed CaLa2GaIr crystal from Alexandria. Energies are from PBE-GGA.

Cell: 5.6430 5.6430 4.9802 Å, 90.00 90.00 90.00°
Positions (direct):
Ca1 0.5000 0.5000 0.5000
Ir1 0.0000 0.0000 0.0000
Ga1 0.0000 0.0000 0.5000
La1 0.0000 0.5000 0.0000
La2 0.5000 0.0000 0.0000

## Properties
SG: No. 123
Total magnetization in Bohr magnetons per cell: 0.00
Volume in Å³/cell: 158.6
Mass density in Mg/m³: 6.07
Formation enthalpy at 0 K in kJ/mol of formula units: -180

***

11.
Here is a relaxed PtRhN3 crystal from Alexandria. Energies are from PBE-GGA.

Cell: 3.8653 3.8653 3.8653 Å, 90.00 90.00 90.00°
Site moments in Bohr magnetons follow the coordinates.
Positions (direct):
Rh1 0.0000 0.0000 0.0000  0.07
Pt1 0.5000 0.5000 0.5000  0.14
N1 0.0000 0.5000 0.0000  0.29
N2 0.0000 0.0000 0.5000  0.22
N3 0.5000 0.0000 0.0000  0.29

## Properties
SG: No. 221
Total magnetization in Bohr magnetons per cell: 1.28
ΔE_f (raw) in eV/atom: 1.9899
Volume in Å³/cell: 57.7
Mass density in Mg/m³: 9.78

***

12.
Here is a relaxed NdDyHg2 crystal from Alexandria. Energies are from PBE-GGA.

Cell: 5.3503 5.3503 5.3503 Å, 60.00 60.00 60.00°
Site moments in Bohr magnetons follow the coordinates.
Positions (direct):
Nd1 0.0000 0.0000 0.0000  0.17
Hg1 0.2500 0.2500 0.2500  0.02
Hg2 0.7500 0.7500 0.7500  0.02
Dy1 0.5000 0.5000 0.5000  0.24

## Properties
SG: No. 225
Total magnetization in Bohr magnetons per cell: 0.72
Volume in Å³/cell: 108.3
Mass density in Mg/m³: 10.85
Formation enthalpy at 0 K in kJ/mol of formula units: -181